1.
Below is an optimized crystal structure of NdFeSi2Ni, with properties calculated at the PBE level.

abc: 3.9574 3.9574 5.7380
angles: 110.17 110.17 90.00
With the nearest neighbours (Å) after each atom.
Atoms (fractional coordinates):
Nd1 0.0000 0.0000 0.0000  8 Si 3.09, 4 Fe 3.19, 4 Ni 3.19
Fe1 0.7500 0.2500 0.5000  4 Si 2.31
Si1 0.6312 0.6312 0.2624  2 Ni 2.31, 2 Fe 2.31
Si2 0.3688 0.3688 0.7376  2 Ni 2.31, 2 Fe 2.31
Ni1 0.2500 0.7500 0.5000  4 Si 2.31

## Properties
D(E_F) in states/eV per cell: 2.5
Symmetry: I-4m2, No. 119
Theoretical density in kg/m3: 6666
Crystal system: tetragonal
ΔE_f (raw) in eV per formula unit: -3.50

2.
Below is an optimized crystal structure of RhW2Au, with properties calculated at the PBE level.

abc: 4.5122 4.5122 4.5122
angles: 60.00 60.00 60.00
With the nearest neighbours (Å) after each atom.
Atoms (fractional coordinates):
Rh1 0.0000 0.0000 0.0000  8 W 2.76
Au1 0.5000 0.5000 0.5000  8 W 2.76
W1 0.2500 0.2500 0.2500  4 Au 2.76, 4 Rh 2.76
W2 0.7500 0.7500 0.7500  4 Rh 2.76, 4 Au 2.76

## Properties
D(E_F) in states/eV per cell: 6.4
Symmetry: Fm-3m, No. 225
Theoretical density in kg/m3: 17064
Crystal system: cubic
Energy of formation in eV/atom: 0.66

3.
Below is an optimized crystal structure of FeRe2Sn, with properties calculated at the PBE level.

abc: 7.3275 7.3275 5.7566
angles: 50.47 50.47 90.00
With the nearest neighbours (Å) after each atom.
Atoms (fractional coordinates):
Re1 0.5576 0.1250 0.2500  2 Fe 2.35
Re2 0.1924 0.6250 0.2500  2 Fe 2.35
Re3 0.3750 0.4424 0.7500  2 Fe 2.35
Re4 0.8750 0.8076 0.7500  2 Fe 2.35
Sn1 0.0000 0.0000 0.0000  2 Fe 2.51
Sn2 0.7500 0.2500 0.5000  2 Fe 2.51
Fe1 0.5000 0.5000 0.0000  4 Re 2.35, 2 Sn 2.51
Fe2 0.2500 0.7500 0.5000  4 Re 2.35, 2 Sn 2.51

## Properties
D(E_F) in states/eV per cell: 10.1
Symmetry: I-42d, No. 122
Theoretical density in kg/m3: 13488
Crystal system: tetragonal
Energy of formation in eV/atom: 0.81

4.
Below is an optimized crystal structure of Tc2Ir2Rh7, with properties calculated at the PBE level.

abc: 4.7418 6.0654 6.0654
angles: 81.01 98.53 98.53
With the nearest neighbours (Å) after each atom.
Atoms (fractional coordinates):
Tc1 0.0000 0.1714 0.8286  8 Rh 2.63-2.87, 2 Ir 2.64, 1 Tc 2.70
Tc2 0.0000 0.8286 0.1714  8 Rh 2.63-2.87, 2 Ir 2.64, 1 Tc 2.70
Ir1 0.2518 0.2361 0.2361  9 Rh 2.56-2.82, 2 Tc 2.64
Ir2 0.7482 0.7639 0.7639  9 Rh 2.56-2.82, 2 Tc 2.64
Rh1 0.7457 0.0518 0.4074  3 Ir 2.56-2.77, 5 Rh 2.62-2.80, 2 Tc 2.63-2.81
Rh2 0.2543 0.5926 0.9482  3 Ir 2.56-2.77, 5 Rh 2.62-2.80, 2 Tc 2.63-2.81
Rh3 0.2543 0.9482 0.5926  3 Ir 2.56-2.77, 5 Rh 2.62-2.80, 2 Tc 2.63-2.81
Rh4 0.7457 0.4074 0.0518  3 Ir 2.56-2.77, 5 Rh 2.62-2.80, 2 Tc 2.63-2.81
Rh5 0.5000 0.0000 0.0000  4 Rh 2.62, 2 Ir 2.67, 4 Tc 2.73
Rh6 0.2656 0.5311 0.5311  4 Rh 2.40-2.62
Rh7 0.7344 0.4689 0.4689  4 Rh 2.40-2.62

## Properties
D(E_F) in states/eV per cell: 14.5
Symmetry: C2/m, No. 12
Theoretical density in kg/m3: 12781
Crystal system: monoclinic
Energy of formation in eV/atom: 0.26

5.
Below is an optimized crystal structure of Re2MoAu, with properties calculated at the PBE level.

abc: 4.7942 4.7942 2.8858
angles: 90.00 90.00 108.95
With the nearest neighbours (Å) after each atom.
Atoms (fractional coordinates):
Au1 0.5000 0.0000 0.5000  2 Mo 2.79, 8 Re 2.80, 2 Au 2.89
Mo1 0.0000 0.5000 0.5000  2 Au 2.79, 8 Re 2.80, 2 Mo 2.89
Re1 0.0000 0.0000 0.0000  4 Re 2.79-2.89, 4 Au 2.80, 4 Mo 2.80
Re2 0.5000 0.5000 0.0000  4 Re 2.79-2.89, 4 Mo 2.80, 4 Au 2.80

## Properties
D(E_F) in states/eV per cell: 3.8
Symmetry: Cmmm, No. 65
Theoretical density in kg/m3: 17610
Crystal system: orthorhombic
Energy of formation in eV/atom: 0.38

6.
Below is an optimized crystal structure of Na3ZrNi, with properties calculated at the PBE level.

abc: 5.1438 5.1438 5.1438
angles: 90.00 90.00 90.00
With the nearest neighbours (Å) after each atom.
Atoms (fractional coordinates):
Ni1 0.0000 0.0000 0.0000  6 Na 2.57
Zr1 0.5000 0.5000 0.5000  12 Na 3.64
Na1 0.0000 0.5000 0.0000  2 Ni 2.57
Na2 0.0000 0.0000 0.5000  2 Ni 2.57
Na3 0.5000 0.0000 0.0000  2 Ni 2.57

## Properties
D(E_F) in states/eV per cell: 4.8
Symmetry: Pm-3m, No. 221
Theoretical density in kg/m3: 2671
Crystal system: cubic
Energy of formation in eV/atom: 1.10

7.
Below is an optimized crystal structure of Fe2Cu2Ir, with properties calculated at the PBE level.

abc: 3.3919 3.3919 6.2473
angles: 74.25 74.25 90.00
With the nearest neighbours (Å) after each atom.
Atoms (fractional coordinates):
Ir1 0.0000 0.0000 0.0000  8 Cu 2.66
Fe1 0.7500 0.2500 0.5000  4 Fe 2.40, 4 Cu 2.43
Fe2 0.2500 0.7500 0.5000  4 Fe 2.40, 4 Cu 2.43
Cu1 0.4012 0.4012 0.1976  1 Cu 2.28, 4 Fe 2.43
Cu2 0.5988 0.5988 0.8024  1 Cu 2.28, 4 Fe 2.43

## Properties
D(E_F) in states/eV per cell: 4.1
Symmetry: I4/mmm, No. 139
Theoretical density in kg/m3: 10784
Crystal system: tetragonal
Energy of formation in eV/atom: 0.55

8.
Below is an optimized crystal structure of ZrAgSe2, with properties calculated at the PBE level.

abc: 6.9709 6.9709 6.9709
angles: 150.02 147.70 44.64
With the nearest neighbours (Å) after each atom.
Atoms (fractional coordinates):
Ag1 0.7525 0.2525 0.5000  4 Se 2.68
Se1 0.0211 0.0211 0.0000  4 Zr 2.83
Se2 0.2829 0.7829 0.5000  4 Ag 2.68, 2 Zr 2.75
Zr1 0.4435 0.4435 0.0000  6 Se 2.75-2.83

## Properties
D(E_F) in states/eV per cell: 2.1
Symmetry: Imm2, No. 44
Theoretical density in kg/m3: 6575
Crystal system: orthorhombic
ΔE_f (raw) in eV per formula unit: -2.93